[1]
## Nd2TlSn4 (PBE-GGA)

Data for a relaxed structure of Nd2TlSn4.

```
Nd2TlSn4
1.0
-1.319 6.409 0.480
1.067 0.752 -6.430
-4.558 -4.475 2.090
Sn Nd Tl
4 2 1
Direct
0.786 0.786 0.072 Sn
0.286 0.286 0.071 Sn
0.786 0.286 0.071 Sn
0.286 0.786 0.071 Sn
0.786 0.286 0.571 Nd
0.286 0.786 0.571 Nd
0.786 0.786 0.572 Tl
```

Crystal system: orthorhombic
Calculated formation energy, eV/atom: -0.429
N(E_F), states/eV/atom: 0.5630



[2]
## Mn2H2Ru (PBE-GGA)

Data for a relaxed structure of Mn2H2Ru.

```
Mn2H2Ru
1.0
2.708 0.000 0.000
0.000 2.708 0.000
1.354 1.354 5.812
H Ru Mn
2 1 2
Direct
0.750 0.250 0.500 H
0.250 0.750 0.500 H
0.000 0.000 0.000 Ru
0.348 0.348 0.304 Mn
0.652 0.652 0.696 Mn
```

Crystal system: tetragonal
N(E_F), states/eV/atom: 0.9102
Energy above the lowest structure with this stoichiometry, meV/atom: 0



[3]
## PuTcPbO6 (PBE-GGA)

Data for a relaxed structure of PuTcPbO6.

```
PuTcPbO6
1.0
-1.623 2.190 4.761
-3.688 -1.113 -3.906
-1.334 -9.801 4.052
O Tc Pb Pu
12 2 2 2
Direct
0.643 0.022 0.853 O
0.621 0.643 0.147 O
0.022 0.379 0.147 O
0.379 0.022 0.647 O
0.978 0.357 0.647 O
0.621 0.978 0.353 O
0.643 0.621 0.647 O
0.978 0.621 0.853 O
0.022 0.643 0.353 O
0.379 0.357 0.853 O
0.357 0.379 0.353 O
0.357 0.978 0.147 O
0.667 0.333 0.750 Tc
0.333 0.667 0.250 Tc
0.000 0.000 0.000 Pb
0.000 0.000 0.500 Pb
0.333 0.667 0.750 Pu
0.667 0.333 0.250 Pu
```

Energy, eV per atom: -8.33
Crystal system: trigonal
N(E_F), states/eV/atom: 0.7473



[4]
## Al5CuNi6 (PBE-GGA)

Data for a relaxed structure of Al5CuNi6.

```
Al5CuNi6
1.0
3.885 -0.004 -1.090
-2.898 5.714 -2.879
-0.139 -0.746 6.983
Al Cu Ni
5 1 6
Direct
0.500 0.500 0.500 Al
0.000 0.332 0.668 Al
0.000 0.668 0.332 Al
0.500 0.161 0.839 Al
0.500 0.839 0.161 Al
0.000 0.000 0.000 Cu
0.240 0.740 0.740 Ni
0.254 0.424 0.086 Ni
0.746 0.914 0.576 Ni
0.746 0.576 0.914 Ni
0.760 0.260 0.260 Ni
0.254 0.086 0.424 Ni
```

Crystal system: orthorhombic
Calculated formation energy, eV/atom: -0.569
N(E_F), states/eV/atom: 0.4455



[5]
## Ca2SiSe (PBE-GGA)

Data for a relaxed structure of Ca2SiSe.

```
Ca2SiSe
1.0
6.415 0.008 0.000
3.668 5.264 0.000
-5.042 -2.636 2.965
Si Ca Se
1 2 1
Direct
0.750 0.250 0.500 Si
0.250 0.750 0.500 Ca
0.000 0.000 0.000 Ca
0.500 0.500 0.000 Se
```

Crystal system: tetragonal
N(E_F), states/eV/atom: 0.6637
Energy above the lowest structure with this stoichiometry, meV/atom: 258



[6]
## PuPa2Os (PBE-GGA)

Data for a relaxed structure of PuPa2Os.

```
PuPa2Os
1.0
3.092 0.000 0.000
1.546 2.678 0.000
1.546 0.893 10.465
Pa Os Pu
2 1 1
Direct
0.908 0.908 0.276 Pa
0.092 0.092 0.724 Pa
0.500 0.500 0.500 Os
0.000 0.000 0.000 Pu
```

Crystal system: trigonal
Calculated formation energy, eV/atom: 0.272
N(E_F), states/eV/atom: 2.4360
Energy above the lowest structure with this stoichiometry, meV/atom: 396



[7]
## Si2SnAu (PBE-GGA)

Data for a relaxed structure of Si2SnAu.

```
Si2SnAu
1.0
-3.966 -3.574 -0.416
2.856 -2.750 -3.599
2.215 -6.816 2.981
Si Au Sn
4 2 2
Direct
0.668 0.125 0.250 Si
0.375 0.332 0.750 Si
0.082 0.625 0.250 Si
0.875 0.918 0.750 Si
0.750 0.250 0.500 Au
0.000 0.000 0.000 Au
0.500 0.500 0.000 Sn
0.250 0.750 0.500 Sn
```

Energy, eV per atom: -4.29
Crystal system: tetragonal
N(E_F), states/eV/atom: 0.4275



[8]
## Sr2HfNpO6 (PBE-GGA)

Data for a relaxed structure of Sr2HfNpO6.

```
Sr2HfNpO6
1.0
-0.449 0.590 -5.939
3.157 -5.187 -0.754
-7.265 -4.438 0.109
Sr Hf O Np
4 2 12 2
Direct
0.500 0.789 0.764 Sr
0.000 0.211 0.736 Sr
0.500 0.789 0.236 Sr
0.000 0.211 0.264 Sr
0.500 0.244 0.500 Hf
0.000 0.756 0.000 Hf
0.000 0.783 0.757 O
0.247 0.469 0.500 O
0.500 0.217 0.743 O
0.500 0.217 0.257 O
0.000 0.783 0.243 O
0.256 0.994 0.500 O
0.756 0.006 0.000 O
0.753 0.469 0.500 O
0.744 0.994 0.500 O
0.244 0.006 0.000 O
0.747 0.531 0.000 O
0.253 0.531 0.000 O
0.000 0.734 0.500 Np
0.500 0.266 0.000 Np
```

Energy, eV per atom: -8.69
Crystal system: orthorhombic
N(E_F), states/eV/atom: 0.9458



[9]
## GaBSe2 (PBE-GGA)

Data for a relaxed structure of GaBSe2.

```
GaBSe2
1.0
3.515 0.000 0.000
1.757 3.044 0.000
0.140 0.035 8.441
Se Ga B
2 1 1
Direct
0.233 0.037 0.006 Se
0.584 0.376 0.501 Se
0.905 0.705 0.851 Ga
0.914 0.708 0.605 B
```

Crystal system: triclinic
Energy above the lowest structure with this stoichiometry, meV/atom: 49



[10]
## CrW (PBE-GGA)

Data for a relaxed structure of CrW.

```
CrW
1.0
7.592 0.000 0.000
0.000 7.592 0.000
0.000 0.000 4.343
Cr W
8 8
Direct
0.157 0.522 0.500 Cr
0.022 0.343 0.000 Cr
0.843 0.478 0.500 Cr
0.343 0.978 0.000 Cr
0.522 0.843 0.500 Cr
0.978 0.657 0.000 Cr
0.657 0.022 0.000 Cr
0.478 0.157 0.500 Cr
0.851 0.806 0.500 W
0.351 0.306 0.000 W
0.806 0.149 0.500 W
0.149 0.194 0.500 W
0.694 0.351 0.000 W
0.649 0.694 0.000 W
0.194 0.851 0.500 W
0.306 0.649 0.000 W
```

Crystal system: tetragonal
Calculated formation energy, eV/atom: 0.694
N(E_F), states/eV/atom: 0.9823



[11]
## Ag2SnB (PBE-GGA)

Data for a relaxed structure of Ag2SnB.

```
Ag2SnB
1.0
4.915 0.000 0.000
0.000 4.915 0.000
2.457 2.457 6.969
Ag B Sn
4 2 2
Direct
0.875 0.753 0.750 Ag
0.375 0.497 0.750 Ag
0.247 0.625 0.250 Ag
0.503 0.125 0.250 Ag
0.500 0.500 0.000 B
0.250 0.750 0.500 B
0.750 0.250 0.500 Sn
0.000 0.000 0.000 Sn
```

Crystal system: tetragonal
Calculated formation energy, eV/atom: 0.785
N(E_F), states/eV/atom: 0.6863
Energy above the lowest structure with this stoichiometry, meV/atom: 0



[12]
## FeSiHgBiPt (PBE-GGA)

Data for a relaxed structure of FeSiHgBiPt.

```
FeSiHgBiPt
1.0
5.515 0.000 0.014
0.000 3.910 0.000
-2.417 0.000 4.756
Si Hg Pt Bi Fe
1 1 1 1 1
Direct
0.940 0.500 0.266 Si
0.314 0.000 0.988 Hg
0.833 0.000 0.477 Pt
0.534 0.500 0.618 Bi
0.832 0.000 0.986 Fe
```

Crystal system: monoclinic
N(E_F), states/eV/atom: 0.8013
Energy above the lowest structure with this stoichiometry, meV/atom: 68



[13]
## Zn3Ag6Hg (PBE-GGA)

Data for a relaxed structure of Zn3Ag6Hg.

```
Zn3Ag6Hg
1.0
5.791 0.000 0.000
0.000 8.043 -0.146
0.000 -1.937 7.808
Zn Ag Hg
6 12 2
Direct
0.856 0.496 0.504 Zn
0.907 0.738 0.002 Zn
0.407 0.002 0.738 Zn
0.356 0.504 0.496 Zn
0.407 0.262 0.998 Zn
0.907 0.998 0.262 Zn
0.318 0.947 0.053 Ag
0.586 0.314 0.686 Ag
0.811 0.430 0.035 Ag
0.311 0.570 0.965 Ag
0.607 0.708 0.751 Ag
0.818 0.053 0.947 Ag
0.086 0.686 0.314 Ag
0.607 0.249 0.292 Ag
0.107 0.751 0.708 Ag
0.811 0.965 0.570 Ag
0.107 0.292 0.249 Ag
0.311 0.035 0.430 Ag
0.577 0.721 0.279 Hg
0.077 0.279 0.721 Hg
```

Crystal system: orthorhombic
Calculated formation energy, eV/atom: 0.043
N(E_F), states/eV/atom: 0.3271
Energy above the lowest structure with this stoichiometry, meV/atom: 48



[14]
## Ca2ScH (PBE-GGA)

Data for a relaxed structure of Ca2ScH.

```
Ca2ScH
1.0
3.486 0.000 0.000
1.743 3.019 0.000
1.743 1.006 9.451
Ca H Sc
2 1 1
Direct
0.114 0.114 0.659 Ca
0.886 0.886 0.341 Ca
0.500 0.500 0.500 H
0.000 0.000 0.000 Sc
```

Crystal system: trigonal
N(E_F), states/eV/atom: 0.9387
Energy above the lowest structure with this stoichiometry, meV/atom: 70



[15]
## KCa4Bi5 (PBE-GGA)

Data for a relaxed structure of KCa4Bi5.

```
KCa4Bi5
1.0
3.741 0.000 0.000
0.000 3.741 0.000
0.000 0.000 23.050
Bi Ca K
5 4 1
Direct
0.500 0.500 0.691 Bi
0.500 0.500 0.884 Bi
0.500 0.500 0.309 Bi
0.500 0.500 0.500 Bi
0.500 0.500 0.116 Bi
0.000 0.000 0.404 Ca
0.000 0.000 0.790 Ca
0.000 0.000 0.596 Ca
0.000 0.000 0.210 Ca
0.000 0.000 0.000 K
```

Crystal system: tetragonal
Calculated formation energy, eV/atom: -0.655
N(E_F), states/eV/atom: 0.3687



[16]
## InBiPb6 (PBE-GGA)

Data for a relaxed structure of InBiPb6.

```
InBiPb6
1.0
-5.894 0.888 0.532
-0.754 -5.790 1.310
0.833 1.435 6.822
Pb In Bi
6 1 1
Direct
0.500 0.000 0.745 Pb
0.500 0.000 0.255 Pb
0.500 0.500 0.000 Pb
0.000 0.500 0.255 Pb
0.500 0.500 0.500 Pb
0.000 0.500 0.745 Pb
0.000 0.000 0.000 In
0.000 0.000 0.500 Bi
```

Crystal system: tetragonal
Calculated formation energy, eV/atom: 0.031
N(E_F), states/eV/atom: 0.6475
Energy above the lowest structure with this stoichiometry, meV/atom: 0



[17]
## InGaGe (PBE-GGA)

Data for a relaxed structure of InGaGe.

```
InGaGe
1.0
-1.769 2.717 0.255
-4.011 -2.529 -0.893
1.531 0.571 4.540
Ge Ga In
1 1 1
Direct
0.166 0.000 0.000 Ge
0.168 0.667 0.333 Ga
0.666 0.333 0.667 In
```

Crystal system: hexagonal
Calculated formation energy, eV/atom: 0.130
N(E_F), states/eV/atom: 0.4808



[18]
## LiBeAu (PBE-GGA)

Data for a relaxed structure of LiBeAu.

```
LiBeAu
1.0
4.710 -0.010 0.000
2.667 3.883 0.000
-3.556 -2.188 2.180
Au Li Be
1 1 1
Direct
0.982 0.982 0.000 Au
0.668 0.668 0.000 Li
0.350 0.350 0.000 Be
```

Crystal system: orthorhombic
Calculated formation energy, eV/atom: -0.187
N(E_F), states/eV/atom: 0.3539
Energy above the lowest structure with this stoichiometry, meV/atom: 1



[19]
## Fe2OsPb (PBE-GGA)

Data for a relaxed structure of Fe2OsPb.

```
Fe2OsPb
1.0
-1.862 2.398 0.105
-2.307 -1.752 -0.913
-1.497 -1.451 6.573
Os Fe Pb
1 2 1
Direct
0.000 0.000 0.439 Os
0.000 0.000 0.056 Fe
0.500 0.500 0.246 Fe
0.500 0.500 0.759 Pb
```

Crystal system: tetragonal
Calculated formation energy, eV/atom: 0.570
N(E_F), states/eV/atom: 0.8989



[20]
## Hf3In2 (PBE-GGA)

Data for a relaxed structure of Hf3In2.

```
Hf3In2
1.0
-1.933 4.578 -0.151
-3.868 0.969 -2.970
-5.158 0.612 2.756
In Hf
2 3
Direct
0.405 0.405 0.785 In
0.595 0.595 0.215 In
0.000 0.000 0.000 Hf
0.797 0.797 0.609 Hf
0.203 0.203 0.391 Hf
```

Crystal system: trigonal
Calculated formation energy, eV/atom: -0.072
N(E_F), states/eV/atom: 1.1215
Energy above the lowest structure with this stoichiometry, meV/atom: 0



Total magnetic moment (μB/f.u.)
0.0, 3.4, 5.0, 0.0, 0.0, 4.9, 0.0, 3.0, 0.0, 0.0, 0.0, 1.8, 0.0, 1.1, 0.0, 0.0, 0.0, 0.0, 4.6, 0.0